# 1
Compound: Na2Np2Se5
Source: Alexandria
Functional: PBE
Structure: optimized geometry

a b c (Å): 8.9909 8.5264 6.2846
angles (deg): 72.99 65.07 41.94
Closest atoms and distances in Å follow each position.
Fractional coordinates of all 9 atoms:
Na 0.1968 0.1968 0.8032  5 Se 2.97-3.30
Na 0.8032 0.8032 0.1968  5 Se 2.97-3.30
Np 0.2698 0.7302 0.2698  5 Se 2.63-2.79
Np 0.7302 0.2698 0.7302  5 Se 2.63-2.79
Se 0.0000 0.0000 0.0000  2 Np 2.63
Se 0.1292 0.1292 0.3708  2 Np 2.79
Se 0.3708 0.3708 0.1292  2 Np 2.79
Se 0.6292 0.6292 0.8708  2 Np 2.79
Se 0.8708 0.8708 0.6292  2 Np 2.79

Summary:
**ΔE to the lowest computed polymorph**: 27.33 kJ per mole of atoms
**E_form (uncorrected)**: -0.83 eV/atom
**Total DFT energy (no corrections)**: -5.93 eV/atom
**Symmetry**: Fmmm

***

# 2
Compound: Sr6Ga2O
Source: Alexandria
Functional: PBE
Structure: optimized geometry

a b c (Å): 7.3680 7.3680 12.3181
angles (deg): 90.00 90.00 90.00
Closest atoms and distances in Å follow each position.
Fractional coordinates of all 18 atoms:
Sr 0.1937 0.1937 0.1614  1 O 2.83
Sr 0.1937 0.1937 0.8386  1 O 2.83
Sr 0.2417 0.7583 0.0000  1 O 2.52
Sr 0.2583 0.2583 0.5000  1 O 2.52
Sr 0.3063 0.6937 0.3386  1 O 2.83
Sr 0.3063 0.6937 0.6614  1 O 2.83
Sr 0.6937 0.3063 0.3386  1 O 2.83
Sr 0.6937 0.3063 0.6614  1 O 2.83
Sr 0.7417 0.7417 0.5000  1 O 2.52
Sr 0.7583 0.2417 0.0000  1 O 2.52
Sr 0.8063 0.8063 0.1614  1 O 2.83
Sr 0.8063 0.8063 0.8386  1 O 2.83
Ga 0.0000 0.0000 0.3719  6 Sr 3.12-3.29, 1 Ga 3.16
Ga 0.0000 0.0000 0.6281  6 Sr 3.12-3.29, 1 Ga 3.16
Ga 0.5000 0.5000 0.1281  6 Sr 3.12-3.29, 1 Ga 3.16
Ga 0.5000 0.5000 0.8719  6 Sr 3.12-3.29, 1 Ga 3.16
O 0.0000 0.0000 0.0000  2 Sr 2.52
O 0.5000 0.5000 0.5000  2 Sr 2.52

Summary:
**E_form (uncorrected)**: -0.64 eV/atom
**Total DFT energy (no corrections)**: -2.98 eV/atom
**Symmetry**: P4_2/mnm

***

# 3
Compound: NaMgSn3
Source: Alexandria
Functional: PBE
Structure: optimized geometry

a b c (Å): 5.4267 5.4267 5.4267
angles (deg): 90.00 90.00 90.00
Closest atoms and distances in Å follow each position.
Fractional coordinates of all 5 atoms:
Na 0.0000 0.0000 0.0000  6 Sn 2.71
Mg 0.5000 0.5000 0.5000  12 Sn 3.84
Sn 0.0000 0.0000 0.5000  2 Na 2.71
Sn 0.0000 0.5000 0.0000  2 Na 2.71
Sn 0.5000 0.0000 0.0000  2 Na 2.71

Summary:
**DFT formation energy**: 0.592 eV/atom
**ΔE to the lowest computed polymorph**: 65.09 kJ per mole of atoms
**Total DFT energy (no corrections)**: -2.39 eV/atom
**Symmetry**: Pm-3m

***

# 4
Compound: Ta2Pd3Au2
Source: Alexandria
Functional: PBE
Structure: optimized geometry

a b c (Å): 3.9443 5.0946 6.4012
angles (deg): 97.06 90.00 112.75
Closest atoms and distances in Å follow each position.
Fractional coordinates of all 7 atoms:
Ta 0.1440 0.2894 0.4061  4 Pd 2.68-2.98, 5 Au 2.85-2.94, 2 Ta 2.93-2.94
Ta 0.8560 0.7106 0.5939  4 Pd 2.68-2.98, 5 Au 2.85-2.94, 2 Ta 2.93-2.94
Pd 0.0000 0.0000 0.0000  2 Ta 2.77, 4 Au 2.83, 6 Pd 2.86-3.02
Pd 0.2917 0.5831 0.8489  3 Ta 2.68-2.98, 4 Pd 2.86-2.94, 4 Au 2.87-2.90
Pd 0.7083 0.4169 0.1511  3 Ta 2.68-2.98, 4 Pd 2.86-2.94, 4 Au 2.87-2.90
Au 0.4249 0.8494 0.2829  6 Pd 2.83-2.90, 5 Ta 2.85-2.94, 1 Au 2.95
Au 0.5751 0.1506 0.7171  6 Pd 2.83-2.90, 5 Ta 2.85-2.94, 1 Au 2.95

Summary:
**DFT formation energy**: -0.150 eV/atom
**ΔE to the lowest computed polymorph**: 0.00 kJ per mole of atoms
**Total DFT energy (no corrections)**: -6.70 eV/atom
**Symmetry**: P-1

***

# 5
Compound: YFeTc2
Source: Alexandria
Functional: PBE
Structure: optimized geometry

a b c (Å): 3.1347 3.1347 6.9637
angles (deg): 90.00 90.00 90.00
Closest atoms and distances in Å follow each position.
Fractional coordinates of all 4 atoms:
Y 0.0000 0.0000 0.0000  4 Fe 3.01, 4 Tc 3.08, 4 Y 3.13
Fe 0.5000 0.5000 0.2933  5 Tc 2.62-2.78
Tc 0.0000 0.0000 0.4934  4 Tc 2.62, 4 Fe 2.62
Tc 0.5000 0.5000 0.6930  4 Tc 2.62, 1 Fe 2.78

Summary:
**DFT formation energy**: 0.145 eV/atom
**ΔE to the lowest computed polymorph**: 0.00 kJ per mole of atoms
**Total DFT energy (no corrections)**: -8.77 eV/atom
**Symmetry**: P4mm

***

# 6
Compound: SmTm3Mg12
Source: Alexandria
Functional: PBE
Structure: optimized geometry

a b c (Å): 4.6175 4.6175 18.9234
angles (deg): 90.00 90.00 90.00
Closest atoms and distances in Å follow each position.
Fractional coordinates of all 16 atoms:
Sm 0.0000 0.0000 0.0000  12 Mg 3.27-3.35
Tm 0.0000 0.0000 0.2523  12 Mg 3.27-3.29
Tm 0.0000 0.0000 0.5000  12 Mg 3.27-3.29
Tm 0.0000 0.0000 0.7477  12 Mg 3.27-3.29
Mg 0.0000 0.5000 0.1282  8 Mg 3.27-3.35, 2 Tm 3.29, 2 Sm 3.35
Mg 0.0000 0.5000 0.3760  8 Mg 3.27-3.29, 4 Tm 3.29
Mg 0.0000 0.5000 0.6240  8 Mg 3.27-3.29, 4 Tm 3.29
Mg 0.0000 0.5000 0.8718  8 Mg 3.27-3.35, 2 Tm 3.29, 2 Sm 3.35
Mg 0.5000 0.0000 0.1282  8 Mg 3.27-3.35, 2 Tm 3.29, 2 Sm 3.35
Mg 0.5000 0.0000 0.3760  8 Mg 3.27-3.29, 4 Tm 3.29
Mg 0.5000 0.0000 0.6240  8 Mg 3.27-3.29, 4 Tm 3.29
Mg 0.5000 0.0000 0.8718  8 Mg 3.27-3.35, 2 Tm 3.29, 2 Sm 3.35
Mg 0.5000 0.5000 0.0000  4 Sm 3.27, 8 Mg 3.35
Mg 0.5000 0.5000 0.2524  4 Tm 3.27, 8 Mg 3.29
Mg 0.5000 0.5000 0.5000  4 Tm 3.27, 8 Mg 3.29
Mg 0.5000 0.5000 0.7476  4 Tm 3.27, 8 Mg 3.29

Summary:
**DFT formation energy**: -0.048 eV/atom
**Total DFT energy (no corrections)**: -2.38 eV/atom
**Symmetry**: P4/mmm

***

# 7
Compound: TaHg2Au
Source: Alexandria
Functional: PBE
Structure: optimized geometry

a b c (Å): 5.5025 5.5025 2.8373
angles (deg): 90.00 90.00 112.16
Closest atoms and distances in Å follow each position.
Fractional coordinates of all 4 atoms:
Ta 0.0000 0.0000 0.0000  2 Ta 2.84, 2 Au 3.07, 8 Hg 3.10
Hg 0.0000 0.5000 0.5000  4 Hg 2.84-3.07, 4 Au 3.10, 4 Ta 3.10
Hg 0.5000 0.0000 0.5000  4 Hg 2.84-3.07, 4 Au 3.10, 4 Ta 3.10
Au 0.5000 0.5000 0.0000  2 Au 2.84, 2 Ta 3.07, 8 Hg 3.10

Summary:
**DFT formation energy**: 0.371 eV/atom
**ΔE to the lowest computed polymorph**: 18.33 kJ per mole of atoms
**Total DFT energy (no corrections)**: -3.56 eV/atom
**Symmetry**: Cmmm

***

# 8
Compound: UAs2Pd2Rh
Source: Alexandria
Functional: PBE
Structure: optimized geometry

a b c (Å): 3.9352 8.2171 6.5492
angles (deg): 90.00 90.00 90.00
Closest atoms and distances in Å follow each position.
Fractional coordinates of all 12 atoms:
U 0.0000 0.0718 0.0000  4 Rh 2.83-3.09, 5 As 2.89-2.98
U 0.0000 0.9282 0.5000  4 Rh 2.83-3.09, 5 As 2.89-2.98
As 0.0000 0.3845 0.7849  4 Pd 2.45-2.63, 2 Rh 2.72
As 0.0000 0.6155 0.2849  4 Pd 2.45-2.63, 2 Rh 2.72
As 0.5000 0.1530 0.3058  3 Pd 2.56-2.66, 2 Rh 2.66-2.67
As 0.5000 0.8470 0.8058  3 Pd 2.56-2.66, 2 Rh 2.66-2.67
Pd 0.0000 0.3338 0.4089  4 As 2.45-2.56
Pd 0.0000 0.6662 0.9089  4 As 2.45-2.56
Pd 0.5000 0.4047 0.0512  3 As 2.63-2.66
Pd 0.5000 0.5953 0.5512  3 As 2.63-2.66
Rh 0.5000 0.1637 0.7124  4 As 2.66-2.72, 2 U 2.83, 1 Pd 2.97
Rh 0.5000 0.8363 0.2124  4 As 2.66-2.72, 2 U 2.83, 1 Pd 2.97

Summary:
**DFT formation energy**: -0.480 eV/atom
**Total DFT energy (no corrections)**: -6.87 eV/atom
**Symmetry**: Pmc2_1

***

# 9
Compound: Co3SiTc
Source: Alexandria
Functional: PBE
Structure: optimized geometry

a b c (Å): 4.3837 4.3837 4.3837
angles (deg): 90.00 90.00 90.00
Closest atoms and distances in Å follow each position.
Fractional coordinates of all 5 atoms:
Co 0.0000 0.0000 0.5000  2 Tc 2.19
Co 0.0000 0.5000 0.0000  2 Tc 2.19
Co 0.5000 0.0000 0.0000  2 Tc 2.19
Si 0.5000 0.5000 0.5000  12 Co 3.10
Tc 0.0000 0.0000 0.0000  6 Co 2.19

Summary:
**ΔE to the lowest computed polymorph**: 73.24 kJ per mole of atoms
**E_form (uncorrected)**: 1.54 eV/atom
**Total DFT energy (no corrections)**: -5.88 eV/atom
**Symmetry**: Pm-3m

***

# 10
Compound: FePdAu
Source: Alexandria
Functional: PBE
Structure: optimized geometry

a b c (Å): 3.8957 3.9889 6.2294
angles (deg): 90.00 108.04 90.00
Closest atoms and distances in Å follow each position.
Fractional coordinates of all 6 atoms:
Fe 0.0746 0.2500 0.1494  6 Pd 2.64-2.79, 2 Fe 2.67, 4 Au 2.83-2.89
Fe 0.9254 0.7500 0.8506  6 Pd 2.64-2.79, 2 Fe 2.67, 4 Au 2.83-2.89
Pd 0.4248 0.2500 0.8483  6 Fe 2.64-2.79, 2 Pd 2.68, 4 Au 2.85-2.86
Pd 0.5752 0.7500 0.1517  6 Fe 2.64-2.79, 2 Pd 2.68, 4 Au 2.85-2.86
Au 0.2516 0.7500 0.5033  4 Au 2.79, 4 Fe 2.83-2.89, 4 Pd 2.85-2.86
Au 0.7484 0.2500 0.4967  4 Au 2.79, 4 Fe 2.83-2.89, 4 Pd 2.85-2.86

Summary:
**DFT formation energy**: 0.001 eV/atom
**ΔE to the lowest computed polymorph**: 1.78 kJ per mole of atoms
**Total DFT energy (no corrections)**: -5.64 eV/atom
**Symmetry**: P2_1/m

***

# 11
Compound: AgSe4
Source: Alexandria
Functional: PBE
Structure: optimized geometry

a b c (Å): 6.5393 6.5393 6.5393
angles (deg): 93.80 93.80 150.15
Closest atoms and distances in Å follow each position.
Fractional coordinates of all 5 atoms:
Ag 0.0000 0.0000 0.0000  8 Se 2.93
Se 0.2753 0.6478 0.9231  2 Se 2.52
Se 0.3522 0.2753 0.6274  2 Se 2.52
Se 0.6478 0.7247 0.3726  2 Se 2.52
Se 0.7247 0.3522 0.0769  2 Se 2.52

Summary:
**ΔE to the lowest computed polymorph**: 20.77 kJ per mole of atoms
**E_form (uncorrected)**: 0.27 eV/atom
**Total DFT energy (no corrections)**: -3.09 eV/atom
**Symmetry**: I4/m

***

# 12
Compound: Ce5SiN8
Source: Alexandria
Functional: PBE
Structure: optimized geometry

a b c (Å): 6.6738 6.6738 6.6738
angles (deg): 107.81 107.81 112.84
Closest atoms and distances in Å follow each position.
Fractional coordinates of all 14 atoms:
Ce 0.0000 0.0000 0.0000  4 N 2.19
Ce 0.1772 0.6220 0.0486  4 N 2.16-2.40
Ce 0.3780 0.4267 0.5553  4 N 2.16-2.40
Ce 0.5733 0.1286 0.9514  4 N 2.16-2.40
Ce 0.8714 0.8228 0.4447  4 N 2.16-2.40
Si 0.7500 0.2500 0.5000  4 N 1.81
N 0.0596 0.3140 0.6625  1 Si 1.81
N 0.0857 0.3767 0.1990  3 Ce 2.16-2.40
N 0.1133 0.9143 0.2910  3 Ce 2.16-2.40
N 0.1777 0.8867 0.8010  3 Ce 2.16-2.40
N 0.6029 0.9404 0.2544  1 Si 1.81
N 0.6233 0.8223 0.7090  3 Ce 2.16-2.40
N 0.6515 0.3971 0.3375  1 Si 1.81
N 0.6860 0.3485 0.7456  1 Si 1.81

Summary:
**E_form (uncorrected)**: -1.08 eV/atom
**Total DFT energy (no corrections)**: -8.35 eV/atom
**Symmetry**: I-4